1.
Density functional theory data (GGA-PBE) for an optimized crystal structure of AsPtPb2.

Unit cell a=5.060 b=5.060 c=3.688 alpha=90.42 beta=90.42 gamma=98.91
Fractional coordinates of all 4 atoms:
As 0.000 0.000 0.000
Pt 0.500 0.500 0.000
Pb 0.000 0.500 0.500
Pb 0.500 0.000 0.500

formation energy from the elements	12	kJ/mol of atoms
total energy	-4.401	eV/atom
mass density	12.18	g cm⁻³
DOS(E_F)	2.18	states/eV/f.u.

***

2.
Density functional theory data (GGA-PBE) for an optimized crystal structure of K2Ba2ZnBi4.

Unit cell a=7.694 b=7.694 c=7.694 alpha=117.51 beta=117.51 gamma=94.37
Fractional coordinates of all 9 atoms:
K 0.205 0.205 0.000
K 0.795 0.795 0.000
Ba 0.250 0.750 0.500
Ba 0.750 0.250 0.500
Zn 0.500 0.500 0.000
Bi 0.251 0.251 0.502
Bi 0.251 0.749 0.000
Bi 0.749 0.251 0.000
Bi 0.749 0.749 0.498

formation energy from the elements	-43	kJ/mol of atoms
total energy	-2.987	eV/atom
mass density	6.25	g cm⁻³
DOS(E_F)	1.58	states/eV/f.u.

***

3.
Density functional theory data (GGA-PBE) for an optimized crystal structure of ThGa5Pt2Rh.

Unit cell a=4.253 b=4.253 c=10.267 alpha=90.00 beta=90.00 gamma=90.00
Fractional coordinates of all 9 atoms:
Th 0.000 0.000 0.000
Ga 0.000 0.500 0.360
Ga 0.000 0.500 0.640
Ga 0.500 0.000 0.360
Ga 0.500 0.000 0.640
Ga 0.500 0.500 0.000
Pt 0.500 0.500 0.230
Pt 0.500 0.500 0.770
Rh 0.000 0.000 0.500

formation energy from the elements	-42	kJ/mol of atoms
total energy	-5.097	eV/atom
mass density	9.60	g cm⁻³
DOS(E_F)	4.78	states/eV/f.u.

***

4.
Density functional theory data (GGA-PBE) for an optimized crystal structure of FeOs.

Unit cell a=2.773 b=2.773 c=6.727 alpha=90.00 beta=90.00 gamma=90.00
Fractional coordinates of all 4 atoms:
Fe 0.250 0.250 0.106
Fe 0.750 0.750 0.894
Os 0.250 0.250 0.641
Os 0.750 0.750 0.359

formation energy from the elements	16	kJ/mol of atoms
total energy	-9.681	eV/atom
mass density	15.79	g cm⁻³
DOS(E_F)	2.48	states/eV/f.u.

***

5.
Density functional theory data (GGA-PBE) for an optimized crystal structure of ReHPt.

Unit cell a=6.518 b=6.518 c=8.873 alpha=120.78 beta=120.78 gamma=42.06
Fractional coordinates of all 18 atoms:
Re 0.087 0.375 0.600
Re 0.137 0.863 0.500
Re 0.272 0.971 0.312
Re 0.375 0.087 0.100
Re 0.863 0.137 0.000
Re 0.971 0.272 0.812
H 0.322 0.838 0.083
H 0.418 0.458 0.448
H 0.458 0.418 0.948
H 0.474 0.736 0.477
H 0.736 0.474 0.977
H 0.838 0.322 0.583
Pt 0.001 0.707 0.118
Pt 0.337 0.646 0.783
Pt 0.575 0.888 0.804
Pt 0.646 0.337 0.283
Pt 0.707 0.001 0.618
Pt 0.888 0.575 0.304

distance to the lowest polymorph of the same formula	47	meV/atom
total energy	-7.075	eV/atom
mass density	18.04	g cm⁻³
DOS(E_F)	1.32	states/eV/f.u.

***

6.
Density functional theory data (GGA-PBE) for an optimized crystal structure of Cr2RuBr.

Unit cell a=3.368 b=3.368 c=5.889 alpha=90.00 beta=90.00 gamma=90.00
Fractional coordinates of all 4 atoms:
Cr 0.000 0.000 0.164
Cr 0.000 0.000 0.836
Ru 0.500 0.500 0.000
Br 0.500 0.500 0.500

distance to the lowest polymorph of the same formula	139	meV/atom
uncorrected formation energy	2.4	eV/f.u.
total energy	-6.940	eV/atom
mass density	7.08	g cm⁻³
DOS(E_F)	3.14	states/eV/f.u.

***

7.
Density functional theory data (GGA-PBE) for an optimized crystal structure of Ni2MoRh2.

Unit cell a=7.028 b=7.028 c=2.747 alpha=90.00 beta=90.00 gamma=90.00
Fractional coordinates of all 10 atoms:
Ni 0.168 0.332 0.000
Ni 0.332 0.832 0.000
Ni 0.668 0.168 0.000
Ni 0.832 0.668 0.000
Mo 0.000 0.000 0.500
Mo 0.500 0.500 0.500
Rh 0.131 0.631 0.500
Rh 0.369 0.131 0.500
Rh 0.631 0.869 0.500
Rh 0.869 0.369 0.500

distance to the lowest polymorph of the same formula	280	meV/atom
formation energy from the elements	17	kJ/mol of atoms
total energy	-7.243	eV/atom
mass density	10.26	g cm⁻³
DOS(E_F)	6.81	states/eV/f.u.

***

8.
Density functional theory data (GGA-PBE) for an optimized crystal structure of ErB3Mo.

Unit cell a=5.421 b=3.159 c=6.810 alpha=90.00 beta=101.69 gamma=90.00
Fractional coordinates of all 10 atoms:
Er 0.177 0.250 0.210
Er 0.823 0.750 0.790
B 0.084 0.750 0.493
B 0.413 0.750 0.496
B 0.419 0.750 0.976
B 0.581 0.250 0.024
B 0.587 0.250 0.504
B 0.916 0.250 0.507
Mo 0.310 0.250 0.720
Mo 0.690 0.750 0.280

distance to the lowest polymorph of the same formula	0	meV/atom
formation energy from the elements	-62	kJ/mol of atoms
total energy	-7.730	eV/atom
mass density	8.60	g cm⁻³
DOS(E_F)	0.95	states/eV/f.u.